(1)
LiAcAs2Pt: relaxed, PBE.

abc: 6.2767 6.2767 6.2767
angles: 139.54 139.54 58.55
With the nearest neighbours (Å) after each atom.
Atoms (fractional coordinates):
Li  0.0000  0.0000  0.0000  4 As 2.56
Ac  0.2500  0.7500  0.5000  8 As 3.36, 4 Pt 3.49, 4 Li 3.49
As  0.6248  0.1248  0.5000  2 Pt 2.56, 2 Li 2.56, 1 As 2.74
As  0.8752  0.3752  0.5000  2 Li 2.56, 2 Pt 2.56, 1 As 2.74
Pt  0.5000  0.5000  0.0000  4 As 2.56

(2)
MnNi6Pt: relaxed, PBE.

Values from the calculation:
ΔE to the lowest computed polymorph in meV per atom: 597

abc: 4.8227 4.8227 4.8227
angles: 82.05 82.05 82.05
With the nearest neighbours (Å) after each atom.
Atoms (fractional coordinates):
Mn  0.0000  0.0000  0.0000  6 Ni 2.34
Ni  0.1514  0.1514  0.5272  5 Ni 2.27-2.52, 1 Mn 2.34, 1 Pt 2.52
Ni  0.1514  0.5272  0.1514  5 Ni 2.27-2.52, 1 Mn 2.34, 1 Pt 2.52
Ni  0.4728  0.8486  0.8486  5 Ni 2.27-2.52, 1 Mn 2.34, 1 Pt 2.52
Ni  0.5272  0.1514  0.1514  5 Ni 2.27-2.52, 1 Mn 2.34, 1 Pt 2.52
Ni  0.8486  0.4728  0.8486  5 Ni 2.27-2.52, 1 Mn 2.34, 1 Pt 2.52
Ni  0.8486  0.8486  0.4728  5 Ni 2.27-2.52, 1 Mn 2.34, 1 Pt 2.52
Pt  0.5000  0.5000  0.5000  6 Ni 2.52

Number 1: energy of formation from the pure elements -0.9662 eV/atom. Number 2: energy of formation from the pure elements 0.5167 eV/atom.